# Ag3Sn6Au, relaxed, DFT PBE-GGA
data_Ag3Sn6Au
_chemical_formula_sum 'Ag6 Sn12 Au2'
_cell_length_a 7.200
_cell_length_b 6.938
_cell_length_c 12.102
_cell_angle_alpha 90.00
_cell_angle_beta 126.49
_cell_angle_gamma 90.00
_space_group_name_H-M_alt 'P 1 21/c 1'
_space_group_IT_number 14
_space_group_name_Hall '-P 2ybc'
loop_
_atom_site_label
_atom_site_type_symbol
_atom_site_fract_x
_atom_site_fract_y
_atom_site_fract_z
Ag1 Ag 0.000 0.000 0.000
Ag2 Ag 0.287 0.233 0.745
Sn1 Sn 0.071 0.588 0.751
Sn2 Sn 0.222 0.623 0.087
Sn3 Sn 0.454 0.125 0.085
Au1 Au 0.500 0.000 0.500
# Total magnetization in μB/f.u.: 0.00
# Energy relative to the elements in meV/atom: 6
# Calculated volume in Å³/cell: 486.1